Entry 1:
Below is an optimized crystal structure of NaHfBeCu2, with properties calculated at the PBE level.

Output
SG: No. 123
Magnetic moment (μB/f.u.): 0.0
E above lowest polymorph (eV/atom): 0.000
Fermi-level density of states (states/eV/f.u.): 4.44
Formation energy from the elements (eV per formula unit): 3.1

Unit cell a=4.2087 b=4.3983 c=4.2087 alpha=90.00 beta=90.00 gamma=90.00
With the nearest neighbours (Å) after each atom.
Fractional positions:
Na 0.0000 0.5000 0.0000  2 Be 2.20
Hf 0.5000 0.5000 0.5000  4 Na 2.98, 8 Cu 3.04
Cu 0.0000 0.0000 0.5000  2 Be 2.10
Cu 0.5000 0.0000 0.0000  2 Be 2.10
Be 0.0000 0.0000 0.0000  4 Cu 2.10, 2 Na 2.20

Entry 2:
Below is an optimized crystal structure of NaHfBeCu2, with properties calculated at the PBE level.

Output
SG: No. 123
Magnetic moment (μB/f.u.): 0.0
E above lowest polymorph (eV/atom): 0.481
Fermi-level density of states (states/eV/f.u.): 3.28
Formation energy from the elements (eV per formula unit): 5.5

Unit cell a=4.9941 b=4.9628 c=4.9941 alpha=90.00 beta=90.00 gamma=90.00
With the nearest neighbours (Å) after each atom.
Fractional positions:
Na 0.5000 0.5000 0.5000  8 Cu 3.52, 4 Be 3.53
Hf 0.0000 0.0000 0.0000  2 Be 2.48, 4 Cu 2.50
Cu 0.0000 0.0000 0.5000  2 Hf 2.50
Cu 0.5000 0.0000 0.0000  2 Hf 2.50
Be 0.0000 0.5000 0.0000  2 Hf 2.48

Entry 3:
Below is an optimized crystal structure of HfBeCuNi, with properties calculated at the PBE level.

Output
SG: No. 216
Magnetic moment (μB/f.u.): 0.0
Fermi-level density of states (states/eV/f.u.): 3.28
Formation energy from the elements (eV per formula unit): -0.7

Unit cell a=4.2200 b=4.2200 c=4.2200 alpha=60.00 beta=60.00 gamma=60.00
With the nearest neighbours (Å) after each atom.
Fractional positions:
Ni 0.2500 0.2500 0.2500  4 Be 2.58, 4 Hf 2.58
Hf 0.5000 0.5000 0.5000  4 Ni 2.58, 4 Cu 2.58
Cu 0.7500 0.7500 0.7500  4 Be 2.58, 4 Hf 2.58
Be 0.0000 0.0000 0.0000  4 Ni 2.58, 4 Cu 2.58

Entry 4:
Below is an optimized crystal structure of HfBeCu2Pt, with properties calculated at the PBE level.

Output
SG: No. 123
Magnetic moment (μB/f.u.): 0.0
Fermi-level density of states (states/eV/f.u.): 3.89
Formation energy from the elements (eV per formula unit): 4.4

Unit cell a=4.7030 b=4.8831 c=4.7030 alpha=90.00 beta=90.00 gamma=90.00
With the nearest neighbours (Å) after each atom.
Fractional positions:
Be 0.5000 0.5000 0.5000  4 Hf 3.33, 8 Cu 3.39
Hf 0.0000 0.5000 0.0000  2 Pt 2.44
Cu 0.0000 0.0000 0.5000  2 Pt 2.35
Cu 0.5000 0.0000 0.0000  2 Pt 2.35
Pt 0.0000 0.0000 0.0000  4 Cu 2.35, 2 Hf 2.44